# 1
# KLiCa2Cl6

An optimized crystal structure of KLiCa2Cl6 (PBE-GGA, the Alexandria database).

V, Å³ per atom: 27.7
Uncorrected energy, eV for the cell shown: -39.78
Crystal system: trigonal

a = 7.5491 Å, b = 7.5491 Å, c = 7.5491 Å
α = 56.11°, β = 56.11°, γ = 56.11°
With the nearest neighbours (Å) after each atom.
Positions (direct):
K (0.0000, 0.0000, 0.0000)  6 Cl 3.03-3.29
Li (0.5269, 0.5269, 0.5269)  6 Cl 2.66-2.76
Ca (0.2079, 0.2079, 0.2079)  6 Cl 2.73-2.78
Ca (0.7206, 0.7206, 0.7206)  6 Cl 2.74-2.80
Cl (0.1209, 0.4477, 0.8048)  2 Ca 2.74-2.78, 1 Li 2.76
Cl (0.3696, 0.9268, 0.5584)  1 Li 2.66, 2 Ca 2.73-2.80
Cl (0.4477, 0.8048, 0.1209)  2 Ca 2.74-2.78, 1 Li 2.76
Cl (0.5584, 0.3696, 0.9268)  1 Li 2.66, 2 Ca 2.73-2.80
Cl (0.8048, 0.1209, 0.4477)  2 Ca 2.74-2.78, 1 Li 2.76
Cl (0.9268, 0.5584, 0.3696)  1 Li 2.66, 2 Ca 2.73-2.80

---

# 2
# K2CaMgCl6

An optimized crystal structure of K2CaMgCl6 (PBE-GGA, the Alexandria database).

V, Å³ per atom: 27.2
Uncorrected energy, eV for the cell shown: -75.18
Crystal system: monoclinic

a = 7.1829 Å, b = 7.3740 Å, c = 12.5145 Å
α = 90.00°, β = 124.82°, γ = 90.00°
With the nearest neighbours (Å) after each atom.
Positions (direct):
K (0.2332, 0.0549, 0.2491)  7 Cl 3.19-3.55
K (0.2332, 0.4451, 0.7491)  7 Cl 3.19-3.55
K (0.7668, 0.5549, 0.2509)  7 Cl 3.19-3.55
K (0.7668, 0.9451, 0.7509)  7 Cl 3.19-3.55
Ca (0.5000, 0.0000, 0.0000)  6 Cl 2.74-2.75
Ca (0.5000, 0.5000, 0.5000)  6 Cl 2.74-2.75
Mg (0.0000, 0.0000, 0.5000)  6 Cl 2.53-2.55
Mg (0.0000, 0.5000, 0.0000)  6 Cl 2.53-2.55
Cl (0.1542, 0.2175, 0.9586)  1 Mg 2.55, 1 Ca 2.75
Cl (0.1542, 0.2825, 0.4586)  1 Mg 2.55, 1 Ca 2.75
Cl (0.2441, 0.6980, 0.9602)  1 Mg 2.54, 1 Ca 2.75
Cl (0.2441, 0.8020, 0.4602)  1 Mg 2.54, 1 Ca 2.75
Cl (0.3179, 0.0168, 0.7395)  1 Mg 2.53, 1 Ca 2.74
Cl (0.3179, 0.4832, 0.2395)  1 Mg 2.53, 1 Ca 2.74
Cl (0.6821, 0.5168, 0.7605)  1 Mg 2.53, 1 Ca 2.74
Cl (0.6821, 0.9832, 0.2605)  1 Mg 2.53, 1 Ca 2.74
Cl (0.7559, 0.1980, 0.5398)  1 Mg 2.54, 1 Ca 2.75
Cl (0.7559, 0.3020, 0.0398)  1 Mg 2.54, 1 Ca 2.75
Cl (0.8458, 0.7175, 0.5414)  1 Mg 2.55, 1 Ca 2.75
Cl (0.8458, 0.7825, 0.0414)  1 Mg 2.55, 1 Ca 2.75